Entry 1:
12
Lattice="6.386 0.000 0.000 0.000 8.711 0.000 -0.060 0.000 6.636" Properties=species:S:1:pos:R:3 comment="PBE Ca2ErTlCl8, relaxed" spacegroup=P2/m dft_energy_ev_per_atom=-4.2442 e_form_raw_ev_per_atom=-2.102 pbc="T T T"
Ca 0.000 2.157 0.000
Ca 0.000 6.554 0.000
Er 3.163 4.356 3.318
Tl 3.163 0.000 3.318
Cl 1.352 0.000 5.774
Cl 1.446 4.356 5.419
Cl 1.689 2.532 2.168
Cl 1.689 6.180 2.168
Cl 4.637 2.532 4.468
Cl 4.637 6.180 4.468
Cl 4.880 4.356 1.217
Cl 4.974 0.000 0.862



Entry 2:
18
Lattice="7.085 0.000 0.000 -3.542 6.135 0.000 0.000 0.000 13.830" Properties=species:S:1:pos:R:3 comment="PBE CaErTlCl6, relaxed" spacegroup=P-31c dft_energy_ev_per_atom=-4.2959 e_form_raw_ev_per_atom=-2.073 pbc="T T T"
Ca 0.000 4.090 3.458
Ca 3.542 2.045 10.373
Er 0.000 4.090 10.373
Er 3.542 2.045 3.458
Tl 0.000 0.000 0.000
Tl 0.000 0.000 6.915
Cl -1.248 2.324 8.870
Cl -2.153 3.893 11.876
Cl 1.248 2.324 11.876
Cl -0.906 6.054 8.870
Cl 2.637 0.082 1.955
Cl 1.389 2.243 4.960
Cl 2.153 3.893 8.870
Cl 0.906 6.054 11.876
Cl 4.448 0.082 4.960
Cl 2.295 3.811 1.955
Cl 5.696 2.243 1.955
Cl 4.790 3.811 4.960